Arrangement w

Below is a relaxed structure of EuDy2Sb, with properties calculated at the PBE level.

```
data_EuDy2Sb
_chemical_formula_sum 'Eu1 Dy2 Sb1'
_symmetry_space_group_name_H-M 'P 4/m m m'
_symmetry_Int_Tables_number 123
_symmetry_space_group_name_Hall '-P 4 2'
_cell_length_a 4.8948
_cell_length_b 4.8948
_cell_length_c 4.7657
_cell_angle_alpha 90.00
_cell_angle_beta 90.00
_cell_angle_gamma 90.00
loop_
_atom_site_label
_atom_site_type_symbol
_atom_site_fract_x
_atom_site_fract_y
_atom_site_fract_z
Eu1 Eu 0.0000 0.0000 0.0000
Dy1 Dy 0.0000 0.5000 0.5000
Sb1 Sb 0.5000 0.5000 0.0000
```

Arrangement x

Below is a relaxed structure of EuDy2Sb, with properties calculated at the PBE level.

```
data_EuDy2Sb
_chemical_formula_sum 'Eu3 Dy6 Sb3'
_symmetry_space_group_name_H-M 'R -3 m'
_symmetry_Int_Tables_number 166
_symmetry_space_group_name_Hall '-R 3 2"'
_cell_length_a 4.0585
_cell_length_b 4.0585
_cell_length_c 30.0026
_cell_angle_alpha 90.00
_cell_angle_beta 90.00
_cell_angle_gamma 120.00
loop_
_atom_site_label
_atom_site_type_symbol
_atom_site_fract_x
_atom_site_fract_y
_atom_site_fract_z
Eu1 Eu 0.0000 0.0000 0.0000
Dy1 Dy 0.0000 0.0000 0.2300
Sb1 Sb 0.0000 0.0000 0.5000
```

Sorted by energy, starting with the most stable: arrangement w, arrangement x.

Arrangement w

Below is a relaxed structure of EuDySb, with properties calculated at the PBE level.

```
data_EuDySb
_chemical_formula_sum 'Eu1 Dy1 Sb1'
_symmetry_space_group_name_H-M 'P 3 m 1'
_symmetry_Int_Tables_number 156
_cell_length_a 5.1177
_cell_length_b 5.1177
_cell_length_c 4.3536
_cell_angle_alpha 90.00
_cell_angle_beta 90.00
_cell_angle_gamma 120.00
loop_
_symmetry_equiv_pos_as_xyz
'x,y,z'
'-y,x-y,z'
'-x+y,-x,z'
'-y,-x,z'
'-x+y,y,z'
'x,x-y,z'
loop_
_atom_site_label
_atom_site_type_symbol
_atom_site_fract_x
_atom_site_fract_y
_atom_site_fract_z
Eu1 Eu 0.0000 0.0000 0.0000
Dy1 Dy 0.3333 0.6667 0.5185
Sb1 Sb 0.6667 0.3333 0.4126
```

Arrangement x

Below is a relaxed structure of EuDySb, with properties calculated at the PBE level.

```
data_EuDySb
_chemical_formula_sum 'Eu2 Dy2 Sb2'
_symmetry_space_group_name_H-M 'I 4 m m'
_symmetry_Int_Tables_number 107
_symmetry_space_group_name_Hall 'I 4 -2'
_cell_length_a 4.0845
_cell_length_b 4.0845
_cell_length_c 10.8753
_cell_angle_alpha 90.00
_cell_angle_beta 90.00
_cell_angle_gamma 90.00
loop_
_atom_site_label
_atom_site_type_symbol
_atom_site_fract_x
_atom_site_fract_y
_atom_site_fract_z
Eu1 Eu 0.0000 0.0000 0.0000
Dy1 Dy 0.0000 0.0000 0.2994
Sb1 Sb 0.0000 0.0000 0.6718
```

Sorted by energy, starting with the most stable: arrangement x, arrangement w.